This record from Alexandria describes crystalline MgIrRh at its relaxed geometry. The functional is GGA-PBE.

Properties
The formation energy is -0.15 eV/atom. The distance to the lowest polymorph of the same formula is 0.0670 eV per atom. The calculation puts the calculated volume at 90.2 Å³/cell. Its electronic total energy is -36.5 eV per cell. The spin magnetization is 0.006 μB/f.u.

abc: 2.8041 3.9386 8.1658
angles: 90.00 90.00 90.00
Closest atoms and distances in Å follow each position.
Space group Imm2 (No. 44)
Inequivalent atoms, fractional coordinates:
Mg1 0.0000 0.0000 0.0000 (multiplicity 2)  5 Rh 2.69-2.79, 5 Ir 2.71-2.78, 2 Mg 2.80
Ir1 0.0000 0.0000 0.3314 (multiplicity 2)  5 Mg 2.71-2.78, 5 Rh 2.75-2.77, 2 Ir 2.80
Rh1 0.0000 0.0000 0.6701 (multiplicity 2)  5 Mg 2.69-2.79, 5 Ir 2.75-2.77, 2 Rh 2.80